[1]
Computed, not measured: crystalline BaPuCuO5 at its relaxed geometry at the PBE level of DFT.

Lattice parameters (Å, degrees): 6.0849 6.0849 8.0558 103.71 103.71 106.92
Fractional coordinates of all 16 atoms:
O1 0.7204 0.1064 0.4107
Ba1 0.3324 0.6676 0.2500
O2 0.2291 0.3466 0.5925
O3 0.7709 0.6534 0.4075
Cu1 0.6902 0.3098 0.2500
O4 0.9365 0.0635 0.7500
O5 0.2796 0.8936 0.5893
Pu1 0.0000 0.0000 0.5000
Ba2 0.6676 0.3324 0.7500
O6 0.1064 0.7204 0.9107
O7 0.0635 0.9365 0.2500
O8 0.3466 0.2291 0.0925
O9 0.8936 0.2796 0.0893
O10 0.6534 0.7709 0.9075
Cu2 0.3098 0.6902 0.7500
Pu2 0.0000 0.0000 0.0000

Calculated values
* energy: -0.57588 Ry/atom
* total magnetization: 1.942 μB/cell
* space-group type: No. 15
* formation energy (no corrections): -2.193 eV per atom


[2]
Computed, not measured: crystalline BaPuCu2O8 at its relaxed geometry at the PBE level of DFT.

Lattice parameters (Å, degrees): 6.1186 6.1186 6.1186 108.77 108.77 110.89
Fractional coordinates of all 12 atoms:
O1 0.3202 0.0952 0.7750
O2 0.6986 0.0456 0.6530
O3 0.9048 0.6798 0.2250
O4 0.4548 0.6798 0.7750
O5 0.3202 0.5452 0.2250
Cu1 0.5000 0.5000 0.0000
O6 0.9544 0.6075 0.6530
Pu1 0.2500 0.7500 0.5000
Ba1 0.0000 0.0000 0.0000
Cu2 0.7500 0.2500 0.5000
O7 0.9544 0.3014 0.3470
O8 0.3925 0.0456 0.3470

Calculated values
* energy: -0.48088 Ry/atom
* total magnetization: 0.011 μB/cell
* space-group type: No. 119
* formation energy (no corrections): -1.200 eV per atom


[3]
Computed, not measured: crystalline Ba4Pu3CuO12 at its relaxed geometry at the PBE level of DFT.

Lattice parameters (Å, degrees): 7.5083 7.5083 7.5083 109.47 109.47 109.47
Fractional coordinates of all 20 atoms:
Ba1 0.0000 0.5000 0.0000
O1 0.2630 0.2630 0.0000
O2 0.2630 0.0000 0.2630
Ba2 0.0000 0.0000 0.5000
Pu1 0.5000 0.0000 0.5000
O3 0.5000 0.2500 0.7500
O4 0.2500 0.7500 0.5000
Pu2 0.0000 0.5000 0.5000
O5 0.2500 0.5000 0.7500
Ba3 0.5000 0.0000 0.0000
O6 0.5000 0.7500 0.2500
O7 0.0000 0.7370 0.7370
Cu1 0.0000 0.0000 0.0000
O8 0.0000 0.2630 0.2630
Pu3 0.5000 0.5000 0.0000
O9 0.7370 0.0000 0.7370
O10 0.7500 0.5000 0.2500
O11 0.7500 0.2500 0.5000
Ba4 0.5000 0.5000 0.5000
O12 0.7370 0.7370 0.0000

Calculated values
* energy: -0.61601 Ry/atom
* total magnetization: 8.988 μB/cell
* space-group type: No. 229
* formation energy (no corrections): -2.667 eV per atom


[4]
Computed, not measured: crystalline Ba3PuCu2O9 at its relaxed geometry at the PBE level of DFT.

Lattice parameters (Å, degrees): 5.8173 5.8173 7.2810 90.00 90.00 120.00
Fractional coordinates of all 15 atoms:
O1 0.1634 0.8366 0.3387
Cu1 0.3333 0.6667 0.1473
Cu2 0.6667 0.3333 0.8527
O2 0.0000 0.5000 0.0000
O3 0.8366 0.1634 0.6613
Pu1 0.0000 0.0000 0.5000
Ba1 0.0000 0.0000 0.0000
O4 0.5000 0.0000 0.0000
O5 0.6733 0.8366 0.3387
O6 0.3267 0.1634 0.6613
O7 0.1634 0.3267 0.3387
O8 0.5000 0.5000 0.0000
Ba2 0.6667 0.3333 0.3069
O9 0.8366 0.6733 0.6613
Ba3 0.3333 0.6667 0.6931

Calculated values
* energy: -0.50697 Ry/atom
* total magnetization: 1.140 μB/cell
* space-group type: No. 164
* formation energy (no corrections): -2.037 eV per atom


[5]
Computed, not measured: crystalline Ba2PuCu2O6 at its relaxed geometry at the PBE level of DFT.

Lattice parameters (Å, degrees): 6.1126 6.1126 6.5235 62.06 62.06 60.00
Fractional coordinates of all 11 atoms:
O1 0.2358 0.2358 0.7553
O2 0.2358 0.7731 0.7553
Ba1 0.2219 0.2219 0.3344
O3 0.7731 0.2358 0.7553
Cu1 0.4217 0.4217 0.7348
O4 0.7642 0.7642 0.2447
O5 0.2269 0.7642 0.2447
Cu2 0.5783 0.5783 0.2652
Pu1 0.0000 0.0000 0.0000
O6 0.7642 0.2269 0.2447
Ba2 0.7781 0.7781 0.6656

Calculated values
* energy: -0.52710 Ry/atom
* total magnetization: 1.997 μB/cell
* space-group type: No. 166
* formation energy (no corrections): -2.070 eV per atom


[6]
Computed, not measured: crystalline RbBa2CuO4 at its relaxed geometry at the PBE level of DFT.

Lattice parameters (Å, degrees): 3.8747 7.1388 12.9421 90.00 90.00 105.75
Fractional coordinates of all 16 atoms:
Ba1 0.3692 0.7384 0.9549
O1 0.6750 0.3499 0.2500
O2 0.2541 0.5082 0.1140
Ba2 0.6308 0.2616 0.4549
O3 0.7459 0.4918 0.8860
Ba3 0.3692 0.7384 0.5451
Cu1 0.7860 0.5720 0.7500
Cu2 0.2140 0.4280 0.2500
Ba4 0.6308 0.2616 0.0451
O4 0.0000 0.0000 0.5000
Rb1 0.1053 0.2107 0.7500
O5 0.7459 0.4918 0.6140
O6 0.0000 0.0000 0.0000
O7 0.3250 0.6501 0.7500
Rb2 0.8947 0.7893 0.2500
O8 0.2541 0.5082 0.3860

Calculated values
* energy: -0.38310 Ry/atom
* total magnetization: 0.717 μB/cell
* space-group type: No. 63
* formation energy (no corrections): -1.620 eV per atom


[7]
Computed, not measured: crystalline BaCuRe2O8 at its relaxed geometry at the PBE level of DFT.

Lattice parameters (Å, degrees): 5.8337 5.8337 7.2584 90.00 90.00 120.00
Fractional coordinates of all 12 atoms:
Re1 0.3333 0.6667 0.7572
O1 0.6730 0.8392 0.6874
O2 0.6667 0.3333 0.9967
O3 0.3270 0.1608 0.3126
O4 0.8338 0.6730 0.3126
O5 0.8392 0.1662 0.3126
Ba1 0.0000 0.0000 0.0000
Cu1 0.0000 0.0000 0.5000
Re2 0.6667 0.3333 0.2428
O6 0.3333 0.6667 0.0033
O7 0.1608 0.8338 0.6874
O8 0.1662 0.3270 0.6874

Calculated values
* energy: -0.55327 Ry/atom
* total magnetization: 1.098 μB/cell
* space-group type: No. 147
* formation energy (no corrections): -1.646 eV per atom


[8]
Computed, not measured: crystalline BaCuReO6 at its relaxed geometry at the PBE level of DFT.

Lattice parameters (Å, degrees): 5.5935 5.2185 5.6366 87.49 85.32 57.59
Fractional coordinates of all 9 atoms:
O1 0.3609 0.5767 0.2625
O2 0.6101 0.9934 0.3111
O3 0.3964 0.9934 0.6889
Cu1 0.6627 0.6743 0.4999
Re1 0.3226 0.3548 0.5000
O4 0.6068 0.3808 0.6551
Ba1 0.9655 0.0690 0.0001
O5 0.0625 0.5768 0.7375
O6 0.0123 0.3810 0.3449

Calculated values
* energy: -0.51218 Ry/atom
* total magnetization: 0.000 μB/cell
* space-group type: No. 5
* formation energy (no corrections): -1.611 eV per atom


> The highest formation energy (no corrections) belongs to which entry?

BaPuCu2O8